Entry 1:
Here is a relaxed PdWSN2 crystal from the Alexandria database. Energies are from PBE.

```
PdWSN2
1.0
-3.808 0.823 0.488
-0.721 -1.148 -3.685
-0.751 -4.367 1.507
Pd S N W
1 1 2 1
Cartesian
0.000 0.000 0.000
-0.376 -2.183 0.754
-1.904 0.412 0.244
-0.360 -0.574 -1.843
-2.640 -2.346 -0.845
```

## Properties
crystal system: tetragonal
offset from the most stable computed form: 1415 meV/atom
D(E_F): 3.23 states/eV per cell
space-group type: P4/mmm (123)
total moment: 0.93 μB/f.u.
raw total energy: -5.90 eV/atom

Entry 2:
Here is a relaxed Pa2FeGeN5 crystal from the Alexandria database. Energies are from PBE.

```
Pa2FeGeN5
1.0
3.236 0.000 0.000
-1.618 6.736 0.000
0.000 0.000 9.616
N Fe Pa Ge
10 2 4 2
Cartesian
1.618 5.926 5.319
0.000 6.729 2.677
1.618 2.879 1.501
0.000 4.120 3.663
0.000 4.949 9.593
1.618 0.007 7.485
1.618 1.787 4.785
0.000 3.857 6.309
1.618 2.616 8.471
0.000 0.810 0.511
0.000 2.956 0.252
1.618 3.780 5.060
1.618 5.132 1.669
1.618 4.824 7.732
0.000 1.912 2.924
0.000 1.604 6.477
1.618 0.812 9.171
0.000 5.925 4.363
```

## Properties
crystal system: orthorhombic
D(E_F): 7.73 states/eV per cell
space-group type: Cmc2_1 (36)
total moment: 0.00 μB/f.u.
raw total energy: -8.97 eV/atom